# 1
Below is a relaxed CaLa3N crystal, with properties calculated at the PBE-GGA level.

Output
ΔE to the lowest computed polymorph = 2225 meV per atom
space-group type = No. 221
magnetization = 0.01 μB/f.u.
energy relative to the elements, uncorrected = 847.7 kJ/mol of formula units
E = -3.265 eV per atom

Unit cell a=5.5794 b=5.5794 c=5.5794 alpha=90.00 beta=90.00 gamma=90.00
Element x y z (fractional)
N (0.5000, 0.5000, 0.5000)
Ca (0.0000, 0.0000, 0.0000)
La (0.0000, 0.5000, 0.0000)
La (0.5000, 0.0000, 0.0000)
La (0.0000, 0.0000, 0.5000)

# 2
Below is a relaxed BaCd2HgRh crystal, with properties calculated at the PBE-GGA level.

Output
ΔE to the lowest computed polymorph = 0 meV per atom
space-group type = No. 123
magnetization = 0.00 μB/f.u.
formation energy from the elements = -260 meV/atom
E = -2.541 eV per atom

Unit cell a=5.2344 b=5.2344 c=5.3427 alpha=90.00 beta=90.00 gamma=90.00
Element x y z (fractional)
Cd (0.5000, 0.0000, 0.0000)
Cd (0.0000, 0.5000, 0.0000)
Rh (0.0000, 0.0000, 0.0000)
Ba (0.5000, 0.5000, 0.5000)
Hg (0.0000, 0.0000, 0.5000)

# 3
Below is a relaxed LaHfGe2Mo crystal, with properties calculated at the PBE-GGA level.

Output
space-group type = No. 123
magnetization = 0.00 μB/f.u.
formation energy from the elements = 1621 meV/atom
E = -5.368 eV per atom

Unit cell a=5.2900 b=4.8212 c=5.2900 alpha=90.00 beta=90.00 gamma=90.00
Element x y z (fractional)
Hf (0.5000, 0.5000, 0.5000)
La (0.0000, 0.0000, 0.0000)
Ge (0.5000, 0.0000, 0.0000)
Ge (0.0000, 0.0000, 0.5000)
Mo (0.0000, 0.5000, 0.0000)

# 4
Below is a relaxed KHg2GeIr crystal, with properties calculated at the PBE-GGA level.

Output
space-group type = No. 123
magnetization = 0.00 μB/f.u.
formation energy from the elements = -156 meV/atom
E = -3.192 eV per atom

Unit cell a=5.4085 b=5.4085 c=4.7068 alpha=90.00 beta=90.00 gamma=90.00
Element x y z (fractional)
K (0.5000, 0.5000, 0.5000)
Hg (0.5000, 0.0000, 0.0000)
Hg (0.0000, 0.5000, 0.0000)
Ir (0.0000, 0.0000, 0.0000)
Ge (0.0000, 0.0000, 0.5000)

# 5
Below is a relaxed Tl3RhI crystal, with properties calculated at the PBE-GGA level.

Output
ΔE to the lowest computed polymorph = 247 meV per atom
space-group type = No. 148
magnetization = 0.00 μB/f.u.
energy relative to the elements, uncorrected = -8.8 kJ/mol of formula units
E = -3.218 eV per atom

Unit cell a=8.6681 b=8.6681 c=8.6681 alpha=50.91 beta=50.91 gamma=50.91
Element x y z (fractional)
Rh (0.1594, 0.1594, 0.1594)
Rh (0.8406, 0.8406, 0.8406)
Tl (0.4471, 0.0288, 0.8237)
Tl (0.5529, 0.9712, 0.1763)
Tl (0.1763, 0.5529, 0.9712)
Tl (0.0288, 0.8237, 0.4471)
Tl (0.9712, 0.1763, 0.5529)
Tl (0.8237, 0.4471, 0.0288)
I (0.3621, 0.3621, 0.3621)
I (0.6379, 0.6379, 0.6379)

# 6
Below is a relaxed InSe2O6 crystal, with properties calculated at the PBE-GGA level.

Output
ΔE to the lowest computed polymorph = 34 meV per atom
space-group type = No. 15
magnetization = 1.00 μB/f.u.
energy relative to the elements, uncorrected = -698.0 kJ/mol of formula units
E = -5.188 eV per atom

Unit cell a=6.2964 b=6.8572 c=6.8572 alpha=95.35 beta=77.64 gamma=77.64
Site moments in Bohr magnetons follow the coordinates.
Element x y z (fractional)
O (0.2980, 0.3911, 0.9656)  0.14
O (0.0409, 0.5238, 0.7162)  0.17
O (0.9591, 0.4762, 0.2838)  0.17
O (0.4591, 0.2838, 0.4762)  0.17
O (0.5409, 0.7162, 0.5238)  0.17
O (0.3760, 0.0374, 0.1946)  0.06
O (0.6240, 0.9626, 0.8054)  0.06
O (0.1240, 0.8054, 0.9626)  0.06
O (0.7020, 0.6089, 0.0344)  0.14
O (0.2020, 0.0344, 0.6089)  0.14
O (0.7980, 0.9656, 0.3911)  0.14
O (0.8760, 0.1946, 0.0374)  0.06
Se (0.7404, 0.4330, 0.1978)  0.05
Se (0.2404, 0.1978, 0.4330)  0.05
Se (0.2596, 0.5670, 0.8022)  0.05
Se (0.7596, 0.8022, 0.5670)  0.05
In (0.7500, 0.9141, 0.0859)  0.00
In (0.2500, 0.0859, 0.9141)  0.00